(1)
! TlHgGe2 PBE-GGA relaxed; values from VASP
&SYSTEM
  ibrav = 0, nat = 8, ntyp = 3
/
ATOMIC_SPECIES
Tl 204.38 Tl.upf
Hg 200.59 Hg.upf
Ge 72.64 Ge.upf
CELL_PARAMETERS angstrom
-2.196 2.196 10.566
2.196 -2.196 10.566
2.196 2.196 -10.566
ATOMIC_POSITIONS angstrom
Tl 0.000 0.000 0.000
Tl 0.000 2.196 5.283
Hg 2.196 0.000 5.283
Hg 0.000 0.000 10.566
Ge 1.098 -0.764 7.924
Ge 1.433 1.098 2.641
Ge 1.098 2.960 -2.641
Ge 0.764 1.098 13.207
! Energy above the most stable polymorph in this dataset   0.000 eV per atom
! Crystal system   tetragonal

***

(2)
! TlHgGe PBE-GGA relaxed; values from VASP
&SYSTEM
  ibrav = 0, nat = 6, ntyp = 3
/
ATOMIC_SPECIES
Tl 204.38 Tl.upf
Hg 200.59 Hg.upf
Ge 72.64 Ge.upf
CELL_PARAMETERS angstrom
3.964 0.000 0.000
-0.011 4.981 0.000
-1.472 -2.303 8.359
ATOMIC_POSITIONS angstrom
Tl 0.134 0.033 3.077
Tl 2.347 2.645 5.283
Hg 0.408 0.162 6.337
Hg 2.073 2.516 2.022
Ge 0.980 4.208 0.009
Ge 1.500 -1.530 8.351
! Energy above the most stable polymorph in this dataset   0.016 eV per atom
! Crystal system   triclinic

***

(3)
! Tl2HgGe PBE-GGA relaxed; values from VASP
&SYSTEM
  ibrav = 0, nat = 4, ntyp = 3
/
ATOMIC_SPECIES
Tl 204.38 Tl.upf
Hg 200.59 Hg.upf
Ge 72.64 Ge.upf
CELL_PARAMETERS angstrom
0.000 3.772 3.772
3.772 0.000 3.772
3.772 3.772 0.000
ATOMIC_POSITIONS angstrom
Tl 1.886 1.886 1.886
Tl 5.658 5.658 5.658
Hg 0.000 0.000 0.000
Ge 3.772 3.772 3.772
! Energy above the most stable polymorph in this dataset   0.043 eV per atom
! Crystal system   cubic

***

(4)
! TlHg3Ge PBE-GGA relaxed; values from VASP
&SYSTEM
  ibrav = 0, nat = 5, ntyp = 3
/
ATOMIC_SPECIES
Tl 204.38 Tl.upf
Hg 200.59 Hg.upf
Ge 72.64 Ge.upf
CELL_PARAMETERS angstrom
5.438 0.000 0.000
0.000 5.438 0.000
0.000 0.000 5.438
ATOMIC_POSITIONS angstrom
Tl 0.000 0.000 0.000
Hg 0.000 2.719 2.719
Hg 2.719 0.000 2.719
Hg 2.719 2.719 0.000
Ge 2.719 2.719 2.719
! Energy above the most stable polymorph in this dataset   0.000 eV per atom
! Crystal system   cubic

***

(5)
! TlHg2Ge2 PBE-GGA relaxed; values from VASP
&SYSTEM
  ibrav = 0, nat = 5, ntyp = 3
/
ATOMIC_SPECIES
Tl 204.38 Tl.upf
Hg 200.59 Hg.upf
Ge 72.64 Ge.upf
CELL_PARAMETERS angstrom
-2.401 2.401 5.614
2.401 -2.401 5.614
2.401 2.401 -5.614
ATOMIC_POSITIONS angstrom
Tl 0.000 0.000 0.000
Hg 2.401 0.000 2.807
Hg 0.000 2.401 2.807
Ge 0.000 0.000 4.373
Ge 0.000 0.000 6.856
! Energy above the most stable polymorph in this dataset   0.000 eV per atom
! Crystal system   tetragonal

***

(6)
! Tl12Hg3Ge PBE-GGA relaxed; values from VASP
&SYSTEM
  ibrav = 0, nat = 16, ntyp = 3
/
ATOMIC_SPECIES
Tl 204.38 Tl.upf
Hg 200.59 Hg.upf
Ge 72.64 Ge.upf
CELL_PARAMETERS angstrom
4.843 0.000 0.000
0.000 4.843 0.000
0.000 0.000 20.042
ATOMIC_POSITIONS angstrom
Tl 0.000 0.000 0.000
Tl 0.000 0.000 4.923
Tl 0.000 0.000 10.021
Tl 0.000 0.000 15.119
Tl 0.000 2.422 2.327
Tl 0.000 2.422 7.520
Tl 0.000 2.422 12.522
Tl 0.000 2.422 17.715
Tl 2.422 0.000 2.327
Tl 2.422 0.000 7.520
Tl 2.422 0.000 12.522
Tl 2.422 0.000 17.715
Hg 2.422 2.422 5.017
Hg 2.422 2.422 10.021
Hg 2.422 2.422 15.025
Ge 2.422 2.422 0.000
! Crystal system   tetragonal

***

(7)
! Tl2HgGe2 PBE-GGA relaxed; values from VASP
&SYSTEM
  ibrav = 0, nat = 5, ntyp = 3
/
ATOMIC_SPECIES
Tl 204.38 Tl.upf
Hg 200.59 Hg.upf
Ge 72.64 Ge.upf
CELL_PARAMETERS angstrom
-1.886 1.886 9.685
1.886 -1.886 9.685
1.886 1.886 -9.685
ATOMIC_POSITIONS angstrom
Tl 0.000 0.000 2.202
Tl 0.000 0.000 17.169
Hg 0.000 0.000 9.685
Ge 1.886 0.000 4.843
Ge 0.000 1.886 4.843
! Energy above the most stable polymorph in this dataset   0.000 eV per atom
! Crystal system   tetragonal

***

(8)
! TlHgGe2 PBE-GGA relaxed; values from VASP
&SYSTEM
  ibrav = 0, nat = 4, ntyp = 3
/
ATOMIC_SPECIES
Tl 204.38 Tl.upf
Hg 200.59 Hg.upf
Ge 72.64 Ge.upf
CELL_PARAMETERS angstrom
0.000 3.619 3.619
3.619 0.000 3.619
3.619 3.619 0.000
ATOMIC_POSITIONS angstrom
Tl 0.000 0.000 0.000
Hg 3.619 3.619 3.619
Ge 1.810 1.810 1.810
Ge 5.429 5.429 5.429
! Energy above the most stable polymorph in this dataset   0.054 eV per atom
! Crystal system   cubic

***

(9)
! TlHgGe PBE-GGA relaxed; values from VASP
&SYSTEM
  ibrav = 0, nat = 6, ntyp = 3
/
ATOMIC_SPECIES
Tl 204.38 Tl.upf
Hg 200.59 Hg.upf
Ge 72.64 Ge.upf
CELL_PARAMETERS angstrom
3.114 0.000 0.000
-0.071 5.990 0.000
-0.232 -2.486 8.547
ATOMIC_POSITIONS angstrom
Tl 0.063 0.706 1.715
Tl 2.748 2.798 6.832
Hg 1.200 0.204 4.856
Hg 1.610 3.300 3.691
Ge 1.188 -0.408 7.637
Ge 1.622 3.912 0.910
! Energy above the most stable polymorph in this dataset   0.056 eV per atom
! Crystal system   triclinic

***

(10)
! Tl2HgGe PBE-GGA relaxed; values from VASP
&SYSTEM
  ibrav = 0, nat = 4, ntyp = 3
/
ATOMIC_SPECIES
Tl 204.38 Tl.upf
Hg 200.59 Hg.upf
Ge 72.64 Ge.upf
CELL_PARAMETERS angstrom
1.617 0.934 12.147
-1.617 0.934 12.147
0.000 -1.868 12.147
ATOMIC_POSITIONS angstrom
Tl 0.000 0.000 3.000
Tl 0.000 0.000 33.442
Hg 0.000 0.000 18.221
Ge 0.000 0.000 0.000
! Energy above the most stable polymorph in this dataset   0.086 eV per atom
! Crystal system   trigonal

***

(11)
! Tl17Hg11Ge PBE-GGA relaxed; values from VASP
&SYSTEM
  ibrav = 0, nat = 29, ntyp = 3
/
ATOMIC_SPECIES
Tl 204.38 Tl.upf
Hg 200.59 Hg.upf
Ge 72.64 Ge.upf
CELL_PARAMETERS angstrom
5.901 -8.835 0.000
5.901 8.835 0.000
-5.784 0.000 8.093
ATOMIC_POSITIONS angstrom
Tl 0.000 0.000 0.000
Tl 7.691 -3.511 2.469
Tl -2.078 0.000 2.930
Tl 1.637 3.541 5.476
Tl 5.346 2.672 0.049
Tl 4.167 6.035 4.984
Tl 2.104 5.838 8.038
Tl 0.264 0.000 5.886
Tl 4.319 2.850 3.291
Tl 7.691 3.511 2.469
Tl 5.346 -2.672 0.049
Tl 3.750 0.000 5.156
Tl 1.637 -3.541 5.476
Tl 6.332 0.000 2.256
Tl 4.319 -2.850 3.291
Tl 2.104 -5.838 8.038
Tl 4.167 -6.035 4.984
Hg 4.922 5.707 1.700
Hg 1.314 1.541 2.989
Hg 3.414 0.000 1.062
Hg 1.314 -1.541 2.989
Hg 2.634 1.534 8.035
Hg 4.808 3.240 6.668
Hg 2.634 -1.534 8.035
Hg 6.917 1.675 5.049
Hg 4.922 -5.707 1.700
Hg 6.917 -1.675 5.049
Hg 4.808 -3.240 6.668
Ge -2.851 0.000 6.291
! Crystal system   monoclinic

***

(12)
! Tl2HgGe PBE-GGA relaxed; values from VASP
&SYSTEM
  ibrav = 0, nat = 8, ntyp = 3
/
ATOMIC_SPECIES
Tl 204.38 Tl.upf
Hg 200.59 Hg.upf
Ge 72.64 Ge.upf
CELL_PARAMETERS angstrom
-4.634 4.634 2.813
4.634 -4.634 2.813
4.634 4.634 -2.813
ATOMIC_POSITIONS angstrom
Tl 6.952 1.630 -0.703
Tl 1.630 2.317 0.703
Tl -2.317 3.004 2.109
Tl 3.004 2.317 3.516
Hg 4.634 0.000 1.406
Hg 0.000 0.000 2.813
Ge 0.000 0.000 0.000
Ge 0.000 4.634 1.406
! Energy above the most stable polymorph in this dataset   0.062 eV per atom
! Crystal system   tetragonal

***

Results for electronic total energy: -21.488; -13.892; -8.921; -7.056; -11.333; -33.061; -13.694; -10.527; -13.649; -8.747; -47.725; -17.690 (in eV per cell, following the order of the records).
Results for E_form: 290; 113; 183; 167; 174; 54; 115; 344; 154; 226; 15; 202 (in meV/atom, following the order of the records).
Results for DOS(E_F): 5.9; 1.3; 2.5; 2.4; 1.5; 8.4; 1.7; 2.7; 1.6; 2.1; 13.1; 5.8 (in states/eV per cell, following the order of the records).